(P)
VASP calculation (PBE-GGA) on a relaxed structure of SrCd4Au2.

M_tot: 0.00 μB/cell
density: 9.08 g/cm3
volume: 340.6 Å³ per cell

Unit cell a=4.4941 b=17.2657 c=4.3891 alpha=90.00 beta=90.00 gamma=90.00
Space group Cmmm (No. 65)
One atom of each set of equivalent atoms:
Sr 0.0000 0.0000 0.0000 x2
Cd 0.0000 0.1815 0.5000 x4
Cd 0.0000 0.3136 0.0000 x4
Au 0.0000 0.4212 0.5000 x4

=====

(Q)
VASP calculation (PBE-GGA) on a relaxed structure of SrCd4Au2.

M_tot: 0.00 μB/cell
density: 9.21 g/cm3
volume: 335.9 Å³ per cell

Unit cell a=8.6662 b=8.6662 c=4.4720 alpha=90.00 beta=90.00 gamma=90.00
Space group P4_2/mnm (No. 136)
One atom of each set of equivalent atoms:
Sr 0.0000 0.0000 0.0000 x2
Cd 0.0929 0.3443 0.5000 x8
Au 0.2020 0.7980 0.5000 x4

=====

Of them, (P) has the lowest stability.

=====

(P)
VASP calculation (PBE-GGA) on a relaxed structure of Sr2Cd5Au4.

M_tot: 0.00 μB/cell
density: 9.22 g/cm3
volume: 1098.6 Å³ per cell

Unit cell a=6.0136 b=9.8482 c=18.5497 alpha=90.00 beta=90.00 gamma=90.00
Space group Fmmm (No. 69)
One atom of each set of equivalent atoms:
Sr 0.0000 0.0000 0.1325 x8
Cd 0.0000 0.0000 0.5000 x4
Cd 0.2500 0.2500 0.0000 x8
Cd 0.2500 0.2500 0.2500 x8
Au 0.0000 0.1546 0.3694 x16

=====

(Q)
VASP calculation (PBE-GGA) on a relaxed structure of Sr2Cd5Au4.

M_tot: 0.00 μB/cell
density: 8.88 g/cm3
volume: 570.4 Å³ per cell

Unit cell a=13.6611 b=5.8856 c=8.7760 alpha=90.00 beta=126.06 gamma=90.00
Space group C2/m (No. 12)
One atom of each set of equivalent atoms:
Sr 0.2153 0.0000 0.2618 x4
Cd 0.0000 0.5000 0.0000 x2
Cd 0.0371 0.2513 0.7288 x8
Au 0.1575 0.0000 0.5645 x4
Au 0.2251 0.5000 0.0513 x4

=====

Of them, (Q) has the lowest stability.

=====

(P)
VASP calculation (PBE-GGA) on a relaxed structure of Sr2CdAu3.

M_tot: 0.00 μB/cell
density: 8.97 g/cm3
volume: 1301.8 Å³ per cell

Unit cell a=8.0152 b=9.6831 c=16.7734 alpha=90.00 beta=90.00 gamma=90.00
Space group Fmmm (No. 69)
One atom of each set of equivalent atoms:
Sr 0.2444 0.0000 0.0000 x8
Sr 0.2500 0.2500 0.2500 x8
Cd 0.0000 0.0000 0.3336 x8
Au 0.0000 0.0000 0.1677 x8
Au 0.0000 0.2485 0.4161 x16

=====

(Q)
VASP calculation (PBE-GGA) on a relaxed structure of Sr2CdAu3.

M_tot: 0.00 μB/cell
density: 9.29 g/cm3
volume: 314.1 Å³ per cell

Unit cell a=11.2728 b=4.8739 c=7.6597 alpha=90.00 beta=131.72 gamma=90.00
Space group Cm (No. 8)
One atom of each set of equivalent atoms:
Sr 0.0000 0.0000 0.0000 x2
Sr 0.0870 0.0000 0.5925 x2
Cd 0.3769 0.0000 0.1950 x2
Au 0.2009 0.5000 0.4101 x2
Au 0.2098 0.5000 0.0025 x2
Au 0.3808 0.0000 0.5911 x2

=====

Of them, (P) has the lowest stability.